Entry 1:
VASP calculation (PBE) on a relaxed InNiHgB2 crystal.

```
InNiHgB2
1.0
4.322 0.000 0.000
0.000 4.322 0.000
0.000 0.000 5.672
In Ni Hg B
1 1 1 2
Direct
0.000 0.000 0.000 In
0.500 0.500 0.500 Ni
0.000 0.000 0.500 Hg
0.000 0.500 0.000 B
0.500 0.000 0.000 B
```

---

Entry 2:
VASP calculation (PBE) on a relaxed Tb2Pm4ErTh crystal.

```
Tb2Pm4ErTh
1.0
6.027 0.000 0.000
0.000 6.030 0.000
-0.008 0.000 7.285
Tb Pm Er Th
2 4 1 1
Direct
0.000 0.000 0.000 Tb
0.500 0.500 0.500 Tb
0.000 0.500 0.248 Pm
0.000 0.500 0.752 Pm
0.499 0.000 0.248 Pm
0.501 0.000 0.752 Pm
0.000 0.000 0.500 Er
0.500 0.500 0.000 Th
```

---

Entry 3:
VASP calculation (PBE) on a relaxed Tb4Pr3Dy4 crystal.

```
Tb4Pr3Dy4
1.0
3.598 0.000 0.000
-0.001 5.074 0.000
-1.772 -2.523 19.801
Tb Pr Dy
4 3 4
Direct
0.046 0.047 0.092 Tb
0.318 0.317 0.634 Tb
0.682 0.683 0.366 Tb
0.954 0.953 0.908 Tb
0.136 0.138 0.274 Pr
0.500 0.500 0.000 Pr
0.864 0.862 0.726 Pr
0.229 0.228 0.456 Dy
0.408 0.407 0.818 Dy
0.592 0.593 0.182 Dy
0.771 0.772 0.544 Dy
```

---

no.,DFT formation energy (eV/atom)
1,1.983
2,0.140
3,0.016